Computed, not measured: a geometry-optimized LiPb6Br12 structure at the PBE level of DFT.

Geometry as POSCAR:
```
LiPb6Br12
1.0
6.4233 3.7085 4.8072
-6.4233 3.7085 4.8072
0.0000 -7.4170 4.8072
Li Pb Br
1 6 12
direct
0.0000 0.0000 0.0000 Li
0.0827 0.5776 0.2630 Pb
0.2630 0.0827 0.5776 Pb
0.4224 0.7370 0.9173 Pb
0.5776 0.2630 0.0827 Pb
0.7370 0.9173 0.4224 Pb
0.9173 0.4224 0.7370 Pb
0.0643 0.6995 0.9202 Br
0.0798 0.9357 0.3005 Br
0.1907 0.4175 0.5454 Br
0.3005 0.0798 0.9357 Br
0.4175 0.5454 0.1907 Br
0.4546 0.8093 0.5825 Br
0.5454 0.1907 0.4175 Br
0.5825 0.4546 0.8093 Br
0.6995 0.9202 0.0643 Br
0.8093 0.5825 0.4546 Br
0.9202 0.0643 0.6995 Br
0.9357 0.3005 0.0798 Br
```

- total energy (eV/f.u.) = -60.79